DFT (GGA-PBE) results for a relaxed structure of HoHgRh.

Computed properties:
Size of the total moment, Bohr magnetons per cell: 0.0
E_tot, eV per atom: -4.517

Unit cell a=4.7002 b=4.7002 c=3.3321 alpha=90.00 beta=90.00 gamma=120.00
With the nearest neighbours (Å) after each atom.
Space group P3m1 (No. 156)
Inequivalent atoms, fractional coordinates:
Ho 0.0000 0.0000 0.0000 (multiplicity 1)  6 Rh 3.18-3.19, 6 Hg 3.18-3.19, 2 Ho 3.33
Hg 0.3333 0.6667 0.4992 (multiplicity 1)  3 Rh 2.71
Rh 0.6667 0.3333 0.5036 (multiplicity 1)  3 Hg 2.71

***

DFT (GGA-PBE) results for a relaxed structure of TlPb2Au2.

Computed properties:
Offset from the most stable computed form, eV/atom: 0.0870
Size of the total moment, Bohr magnetons per cell: 0.0
E_tot, eV per atom: -3.233

Unit cell a=5.0801 b=5.0801 c=11.5809 alpha=90.00 beta=90.00 gamma=90.00
With the nearest neighbours (Å) after each atom.
Space group I4/mmm (No. 139)
Inequivalent atoms, fractional coordinates:
Tl 0.0000 0.0000 0.0000 (multiplicity 2)  8 Au 3.85, 10 Pb 3.92-4.22
Pb 0.0000 0.0000 0.3641 (multiplicity 4)  4 Au 2.86, 1 Pb 3.15
Au 0.0000 0.5000 0.2500 (multiplicity 4)  4 Pb 2.86

***

DFT (GGA-PBE) results for a relaxed structure of HfZr3Fe.

Computed properties:
Offset from the most stable computed form, eV/atom: 0.0000
Size of the total moment, Bohr magnetons per cell: 0.0
E_tot, eV per atom: -8.798

Unit cell a=4.7261 b=6.3657 c=6.9052 alpha=90.00 beta=90.00 gamma=90.00
With the nearest neighbours (Å) after each atom.
Space group Pmmn (No. 59, origin choice 2)
Inequivalent atoms, fractional coordinates:
Hf 0.2500 0.2500 0.2343 (multiplicity 2)  6 Zr 2.99-3.12
Zr 0.2500 0.0186 0.6706 (multiplicity 4)  3 Fe 2.53-2.83
Zr 0.2500 0.7500 0.0606 (multiplicity 2)  1 Fe 2.34
Fe 0.2500 0.7500 0.3998 (multiplicity 2)  3 Zr 2.34-2.53

***

DFT (GGA-PBE) results for a relaxed structure of Ac2SnBRh6.

Computed properties:
Size of the total moment, Bohr magnetons per cell: 0.0
E_tot, eV per atom: -6.865

Unit cell a=10.2705 b=5.9398 c=7.2501 alpha=90.00 beta=118.19 gamma=90.00
With the nearest neighbours (Å) after each atom.
Space group C2/m (No. 12)
Inequivalent atoms, fractional coordinates:
Ac 0.2326 0.0000 0.1982 (multiplicity 4)  9 Rh 3.08-3.43
Sn 0.0000 0.5000 0.0000 (multiplicity 2)  6 Rh 2.67
B 0.0000 0.0000 0.5000 (multiplicity 2)  6 Rh 2.09
Rh 0.0304 0.2612 0.3302 (multiplicity 8)  1 B 2.09
Rh 0.2311 0.0000 0.6697 (multiplicity 4)  1 B 2.09

***

no.,DOS at the Fermi energy (states/eV per cell),calculated volume (A^3/atom)
1,1.997,21.3
2,4.538,29.9
3,12.541,20.8
4,16.212,19.5